NaCoPbN2 PBE-GGA optimized geometry; DOS(E_F) = 1.41 states/eV/atom; formation energy without anion corrections = 2.395 eV/atom; crystal system = tetragonal; space-group type = P4/mmm (123); raw total energy = -3.36 eV per atom
1.0
-3.177 2.691 -0.521
-0.899 -0.102 4.956
2.636 3.218 0.545
Co N Na Pb
1 2 1 1
Cartesian
-0.720 2.903 2.490 Co
1.318 1.609 0.272 N
-1.589 1.345 -0.260 N
0.000 0.000 0.000 Na
-0.450 -0.051 2.478 Pb

NaPu2CoN4 PBE-GGA optimized geometry; DOS(E_F) = 1.56 states/eV/atom; formation energy without anion corrections = -0.709 eV/atom; crystal system = orthorhombic; space-group type = Cmcm (63); raw total energy = -9.51 eV per atom
1.0
-1.923 -1.027 2.671
1.172 -4.939 -3.280
9.549 -1.832 6.169
N Co Pu Na
8 2 4 2
Cartesian
7.324 -5.597 3.120 N
3.944 -3.422 1.523 N
1.037 -2.865 -0.355 N
0.000 0.000 0.000 N
1.473 -2.200 2.439 N
4.774 -0.916 3.084 N
4.853 -4.375 4.036 N
7.760 -4.933 5.914 N
6.330 -5.247 4.764 Co
2.468 -2.551 0.796 Co
-0.395 -2.044 1.155 Pu
3.357 -2.763 3.579 Pu
5.441 -5.034 1.981 Pu
9.192 -5.754 4.405 Pu
7.194 -2.210 4.328 Na
1.604 -5.587 1.231 Na

NaCoReN2 PBE-GGA optimized geometry; DOS(E_F) = 0.75 states/eV/atom; formation energy without anion corrections = 1.918 eV/atom; crystal system = tetragonal; space-group type = P4/mmm (123); raw total energy = -5.59 eV per atom
1.0
3.773 0.000 0.000
0.000 4.876 0.000
0.000 0.000 3.773
Na N Co Re
1 2 1 1
Cartesian
1.887 2.438 1.887 Na
0.000 0.000 1.887 N
1.887 0.000 0.000 N
0.000 0.000 0.000 Co
0.000 2.438 0.000 Re

Look up the DOS(E_F) of the third one. 0.75 states/eV/atom

formation energy without anion corrections of number 1 (NaCoPbN2)? 2.395 eV/atom

The highest raw total energy belongs to which entry? NaCoPbN2